1.
Density functional theory data (GGA-PBE) for BaAgCl3 after structural relaxation.

Properties
The calculation puts the uncorrected formation energy at -1.66 eV per atom. The calculation puts the distance to the lowest polymorph of the same formula at 0 meV per atom. The value obtained for the calculated total energy is -74.51 eV for the cell shown. For the magnetic moment, the calculation gives 0.000 μB per formula unit. The symmetry is P2_1/c (14).

abc: 7.442 8.353 12.110
angles: 90.00 126.72 90.00
Sites, in units of the cell vectors:
Ba 0.197 0.126 0.247
Ba 0.197 0.374 0.747
Ba 0.803 0.626 0.253
Ba 0.803 0.874 0.753
Ag 0.435 0.628 0.387
Ag 0.435 0.872 0.887
Ag 0.565 0.128 0.113
Ag 0.565 0.372 0.613
Cl 0.115 0.160 0.934
Cl 0.115 0.340 0.434
Cl 0.267 0.666 0.943
Cl 0.267 0.834 0.443
Cl 0.428 0.072 0.737
Cl 0.428 0.428 0.237
Cl 0.572 0.572 0.763
Cl 0.572 0.928 0.263
Cl 0.733 0.166 0.557
Cl 0.733 0.334 0.057
Cl 0.885 0.660 0.566
Cl 0.885 0.840 0.066

2.
Density functional theory data (GGA-PBE) for CdCo2NiBr after structural relaxation.

Properties
The calculation puts the uncorrected formation energy at 1.33 eV per atom. The value obtained for the calculated total energy is -15.91 eV for the cell shown. For the magnetic moment, the calculation gives 3.120 μB per formula unit. The symmetry is P4/mmm (123).

abc: 4.292 4.292 5.625
angles: 90.00 90.00 90.00
Sites, in units of the cell vectors:
Cd 0.000 0.000 0.000
Co 0.000 0.500 0.500
Co 0.500 0.000 0.500
Ni 0.500 0.500 0.000
Br 0.000 0.000 0.500

3.
Density functional theory data (GGA-PBE) for Ba3Na2Ag2 after structural relaxation.

Properties
The value obtained for the energy of formation is -0.085 eV/atom. The value obtained for the calculated total energy is -14.70 eV for the cell shown. For the magnetic moment, the calculation gives 0.000 μB per formula unit. The symmetry is C2/m (12).

abc: 6.465 6.465 11.311
angles: 109.38 109.38 44.76
Sites, in units of the cell vectors:
Ba 0.000 0.000 0.000
Ba 0.375 0.375 0.270
Ba 0.625 0.625 0.730
Na 0.140 0.140 0.447
Na 0.860 0.860 0.553
Ag 0.272 0.272 0.944
Ag 0.728 0.728 0.056